[1]
A relaxed structure of PrNdSc, computed with PBE.

Lattice parameters (Å, degrees): 10.621 10.621 5.231 90.00 90.00 18.72
Atoms (fractional coordinates):
Pr1 0.000 0.000 0.000
Pr2 0.101 0.101 0.500
Nd1 0.418 0.418 0.500
Nd2 0.683 0.683 0.000
Sc1 0.262 0.262 0.499
Sc2 0.839 0.839 0.001

* relative energy among the computed polymorphs: 0.042 eV per atom
* calculated formation energy: 106 meV/atom
* Fermi-level density of states: 10.3 states/eV/cell
* M_tot: 0.0 μB per formula unit

=====

[2]
A relaxed structure of Rb2LaPdF6, computed with PBE.

Lattice parameters (Å, degrees): 6.997 6.997 6.997 125.48 125.48 80.74
Atoms (fractional coordinates):
Rb1 0.250 0.750 0.500
Rb2 0.750 0.250 0.500
La1 0.000 0.000 0.000
Pd1 0.500 0.500 0.000
F1 0.216 0.216 0.000
F2 0.255 0.255 0.510
F3 0.255 0.745 0.000
F4 0.745 0.255 0.000
F5 0.745 0.745 0.490
F6 0.784 0.784 0.000

* energy relative to the elements, uncorrected: -2.77 eV/atom
* Fermi-level density of states: 0.0 states/eV/cell
* M_tot: 1.0 μB per formula unit

=====

[3]
A relaxed structure of InAg3, computed with PBE.

Lattice parameters (Å, degrees): 4.237 4.237 4.210 90.00 90.00 90.00
Atoms (fractional coordinates):
In1 0.000 0.000 0.000
Ag1 0.000 0.500 0.500
Ag2 0.500 0.000 0.500
Ag3 0.500 0.500 0.000

* calculated formation energy: -17 meV/atom
* Fermi-level density of states: 1.5 states/eV/cell
* M_tot: 0.0 μB per formula unit